(1)
Material: YErSc2
Method: DFT, GGA-PBE
State: relaxed

Lattice parameters (Å, degrees): 6.632 7.981 8.610 90.00 90.03 90.00
Fractional positions:
Y  0.125  0.026  0.318
Y  0.125  0.474  0.818
Y  0.875  0.526  0.182
Y  0.875  0.974  0.682
Er  0.376  0.530  0.181
Er  0.376  0.970  0.681
Er  0.624  0.030  0.319
Er  0.624  0.470  0.819
Sc  0.126  0.667  0.490
Sc  0.126  0.833  0.990
Sc  0.375  0.168  0.009
Sc  0.375  0.332  0.509
Sc  0.625  0.668  0.491
Sc  0.625  0.832  0.991
Sc  0.874  0.167  0.010
Sc  0.874  0.333  0.510

Values from the calculation:
* DOS at the Fermi energy: 30.056 states/eV/cell
* energy relative to the elements: 183.6 meV/atom


(2)
Material: AlP2Pt
Method: DFT, GGA-PBE
State: relaxed

Lattice parameters (Å, degrees): 3.572 3.572 4.985 90.00 90.00 90.00
Fractional positions:
Al  0.000  0.000  0.000
P  0.000  0.000  0.500
P  0.500  0.500  0.000
Pt  0.500  0.500  0.500

Values from the calculation:
* DOS at the Fermi energy: 1.749 states/eV/cell
* energy relative to the elements: -292.4 meV/atom


(3)
Material: Na2Li2Pb
Method: DFT, GGA-PBE
State: relaxed

Lattice parameters (Å, degrees): 18.436 18.436 18.436 169.82 165.54 17.72
Fractional positions:
Na  0.044  0.294  0.750
Na  0.394  0.144  0.250
Na  0.606  0.856  0.750
Na  0.956  0.706  0.250
Li  0.159  0.909  0.250
Li  0.232  0.982  0.250
Li  0.768  0.018  0.750
Li  0.841  0.091  0.750
Pb  0.307  0.557  0.750
Pb  0.693  0.443  0.250

Values from the calculation:
* DOS at the Fermi energy: 3.077 states/eV/cell
* energy relative to the elements: -99.4 meV/atom


(4)
Material: AlCrAg2Pt
Method: DFT, GGA-PBE
State: relaxed

Lattice parameters (Å, degrees): 5.145 5.145 4.588 90.00 90.00 90.00
Fractional positions:
Al  0.000  0.000  0.000
Cr  0.500  0.500  0.000
Ag  0.000  0.500  0.500
Ag  0.500  0.000  0.500
Pt  0.000  0.000  0.500

Values from the calculation:
* DOS at the Fermi energy: 2.496 states/eV/cell
* energy relative to the elements: 637.7 meV/atom


(5)
Material: MoPb
Method: DFT, GGA-PBE
State: relaxed

Lattice parameters (Å, degrees): 6.310 6.956 8.065 90.00 90.00 90.00
Fractional positions:
Mo  0.039  0.005  0.091
Mo  0.202  0.801  0.407
Mo  0.298  0.199  0.907
Mo  0.461  0.995  0.591
Mo  0.539  0.495  0.909
Mo  0.702  0.699  0.593
Mo  0.798  0.301  0.093
Mo  0.961  0.505  0.409
Pb  0.095  0.847  0.756
Pb  0.138  0.581  0.080
Pb  0.362  0.419  0.580
Pb  0.405  0.153  0.256
Pb  0.595  0.653  0.244
Pb  0.638  0.919  0.920
Pb  0.862  0.081  0.420
Pb  0.905  0.347  0.744

Values from the calculation:
* DOS at the Fermi energy: 7.926 states/eV/cell
* energy relative to the elements: 660.1 meV/atom


(6)
Material: Ba6MgIn
Method: DFT, GGA-PBE
State: relaxed

Lattice parameters (Å, degrees): 11.887 11.887 11.887 150.01 150.01 42.93
Fractional positions:
Ba  0.093  0.593  0.500
Ba  0.249  0.249  0.000
Ba  0.407  0.907  0.500
Ba  0.593  0.093  0.500
Ba  0.751  0.751  0.000
Ba  0.907  0.407  0.500
Mg  0.500  0.500  0.000
In  0.000  0.000  0.000

Values from the calculation:
* DOS at the Fermi energy: 10.298 states/eV/cell
* energy relative to the elements: -116.7 meV/atom


(7)
Material: Ti2AlAg2
Method: DFT, GGA-PBE
State: relaxed

Lattice parameters (Å, degrees): 7.525 7.525 3.267 90.00 90.00 90.00
Fractional positions:
Ti  0.159  0.341  0.000
Ti  0.341  0.841  0.000
Ti  0.659  0.159  0.000
Ti  0.841  0.659  0.000
Al  0.000  0.000  0.000
Al  0.500  0.500  0.000
Ag  0.137  0.637  0.500
Ag  0.363  0.137  0.500
Ag  0.637  0.863  0.500
Ag  0.863  0.363  0.500

Values from the calculation:
* DOS at the Fermi energy: 7.687 states/eV/cell
* energy relative to the elements: 291.5 meV/atom


(8)
Material: Ag2HgPt
Method: DFT, GGA-PBE
State: relaxed

Lattice parameters (Å, degrees): 3.398 3.398 6.292 90.00 90.00 90.00
Fractional positions:
Ag  0.000  0.000  0.000
Ag  0.500  0.500  0.245
Hg  0.000  0.000  0.514
Pt  0.500  0.500  0.758

Values from the calculation:
* DOS at the Fermi energy: 1.371 states/eV/cell
* energy relative to the elements: 78.9 meV/atom


Question: Which of these has the highest energy relative to the elements?
Answer: MoPb